# PuFeC2 (PBE, relaxed)
# total moment = 0.924 μB/atom
# formation energy = -0.060 eV per atom
# energy = -82.96 eV per cell
data_PuFeC2
_space_group_name_H-M_alt 'P 4/n m m'
_space_group_IT_number 129
_cell_length_a 3.525
_cell_length_b 3.525
_cell_length_c 7.262
_cell_angle_alpha 90.00
_cell_angle_beta 90.00
_cell_angle_gamma 90.00
loop_
_space_group_symop_operation_xyz
'x,y,z'
'-x,-y,-z'
'-y+1/2,x,z'
'y+1/2,-x,-z'
'-x+1/2,-y+1/2,z'
'x+1/2,y+1/2,-z'
'y,-x+1/2,z'
'-y,x+1/2,-z'
'x+1/2,-y,-z'
'-x+1/2,y,z'
'-y,-x,-z'
'y,x,z'
'-x,y+1/2,-z'
'x,-y+1/2,z'
'y+1/2,x+1/2,-z'
'-y+1/2,-x+1/2,z'
loop_
_atom_site_label
_atom_site_type_symbol
_atom_site_fract_x
_atom_site_fract_y
_atom_site_fract_z
Pu1 Pu 0.250 0.250 0.172
Fe1 Fe 0.250 0.750 0.500
C1 C 0.250 0.250 0.645
C2 C 0.250 0.250 0.849